Entry 1:
A relaxed structure of PmLuPu4. Source: the Alexandria database, functional PBE.

Geometry as extended XYZ:
```
6
Lattice="-4.6096 -3.8397 -1.4497 1.2489 -5.6910 -2.0362 -1.1862 -4.8873 3.5778" Properties=species:S:1:pos:R:3 pbc="T T T"
Pu -3.4673 -6.1648 1.0764
Pu -2.8423 -9.0128 0.0574
Pu -0.5355 -7.0912 0.7829
Pu -2.2487 -6.5670 -1.7330
Lu 0.0000 0.0000 0.0000
Pm -1.1367 -3.6045 0.0230
```

Computed properties:
**Crystal system**: cubic
**Fermi-level density of states**: 27.81 states/eV/f.u.

Entry 2:
A relaxed structure of PmLuPu. Source: the Alexandria database, functional PBE.

Geometry as extended XYZ:
```
3
Lattice="-1.7915 2.6698 1.4344 -1.6859 -2.9396 -0.9549 1.3236 -3.2782 7.7552" Properties=species:S:1:pos:R:3 pbc="T T T"
Pu -1.3211 -0.2779 3.1879
Pm -0.8390 -3.2545 5.0098
Lu 0.0063 -0.0156 0.0370
```

Computed properties:
**Crystal system**: trigonal
**Excess energy over the best structure of this formula in the dataset**: 1.82 kJ/mol of atoms
**Fermi-level density of states**: 8.69 states/eV/f.u.

Number 1: formation energy 5.5 kcal/mol of atoms, density 12945 kg/m3. Number 2: formation energy 3.1 kcal/mol of atoms, density 10236 kg/m3.